K2HgRhCl6: relaxed, GGA-PBE.

Cell: 7.2181 7.2981 10.2750 Å, 90.00 90.00 90.00°
Closest atoms and distances in Å follow each position.
Positions (direct):
K (0.5000, 0.7636, 0.2449)  11 Cl 3.44-3.78
Cl (0.2652, 0.0081, 0.5000)  1 Rh 2.40
Cl (0.2364, 0.5272, 0.0000)  1 Rh 2.40
K (0.5000, 0.7636, 0.7551)  11 Cl 3.44-3.78
Cl (0.7364, 0.4728, 0.5000)  1 Rh 2.40
Cl (0.0000, 0.7661, 0.7670)  1 Rh 2.40
Cl (0.0000, 0.7661, 0.2330)  1 Rh 2.40
Hg (0.5000, 0.2616, 0.0000)  6 Cl 2.72-2.75
Rh (0.0000, 0.7585, 0.0000)  6 Cl 2.40
Hg (0.0000, 0.7384, 0.5000)  6 Cl 2.72-2.75
Cl (0.7348, 0.0081, 0.5000)  1 Rh 2.40
Cl (0.2636, 0.4728, 0.5000)  1 Rh 2.40
Cl (0.5000, 0.2339, 0.2670)  1 Rh 2.40
Cl (0.7652, 0.9919, 0.0000)  1 Rh 2.40
K (0.0000, 0.2364, 0.7449)  11 Cl 3.44-3.78
K (0.0000, 0.2364, 0.2551)  11 Cl 3.44-3.78
Rh (0.5000, 0.2415, 0.5000)  6 Cl 2.40
Cl (0.2348, 0.9919, 0.0000)  1 Rh 2.40
Cl (0.5000, 0.2339, 0.7330)  1 Rh 2.40
Cl (0.7636, 0.5272, 0.0000)  1 Rh 2.40

Properties
The value obtained for the formation energy from raw total energies is -1033 kJ/mol of formula units. As for the space-group type: Pmmn. As for the electronic total energy: -3.16 eV/atom. The calculation puts the calculated volume at 27.1 Å³/atom. The density of states at the Fermi level comes out at 2.13 states/eV/f.u.